SrCSCl2 | PBE | optimized geometry

a b c (Å): 5.203 5.203 3.807
angles (deg): 90.00 90.00 90.00
Sites, in units of the cell vectors:
C: 0.000 0.000 0.000
Cl: 0.500 0.000 0.000
Cl: 0.000 0.500 0.000
S: 0.000 0.000 0.500
Sr: 0.500 0.500 0.500

- ΔE_f (raw) (eV per formula unit) = -1.0
- energy above the lowest structure with this stoichiometry (eV/atom) = 0.000